[1]
Material: La3TbZr2N6
Method: DFT, PBE-GGA
State: optimized geometry

Cell and atoms, written as POSCAR:
```
La3TbZr2N6
1.0
-2.6346 -0.7750 -5.3604
5.3886 -2.4605 1.0884
-3.5406 -3.7912 3.4142
N La Zr Tb
6 3 2 1
Direct
0.2772 0.2772 0.7858
0.4206 0.0727 0.2174
0.7228 0.7228 0.2142
0.0727 0.4206 0.2174
0.9273 0.5794 0.7826
0.5794 0.9273 0.7826
0.5000 0.5000 0.5000
0.8338 0.1662 0.5000
0.1662 0.8338 0.5000
0.3337 0.6663 0.0000
0.6663 0.3337 0.0000
0.0000 0.0000 0.0000
```

Values from the calculation:
The calculation puts the calculated volume at 184.72 Å³ per cell. The value obtained for the total magnetization is 0.000 Bohr magnetons per cell. The symmetry is No. 12.

[2]
Material: LaTbZrN3
Method: DFT, PBE-GGA
State: optimized geometry

Cell and atoms, written as POSCAR:
```
LaTbZrN3
1.0
3.4431 0.0000 0.0000
0.0000 6.6859 0.9154
0.0000 -1.6746 9.6169
N Zr La Tb
6 2 2 2
Direct
0.7500 0.8504 0.2118
0.2500 0.1496 0.7882
0.2500 0.6300 0.8873
0.2500 0.8445 0.5558
0.7500 0.3700 0.1127
0.7500 0.1555 0.4442
0.7500 0.8295 0.4272
0.2500 0.1705 0.5728
0.7500 0.8361 0.7826
0.2500 0.1639 0.2174
0.2500 0.6404 0.1201
0.7500 0.3596 0.8799
```

Values from the calculation:
The calculation puts the calculated volume at 226.66 Å³ per cell. The value obtained for the total magnetization is 0.000 Bohr magnetons per cell. The symmetry is No. 11.

[3]
Material: LaTcN3
Method: DFT, PBE-GGA
State: optimized geometry

Cell and atoms, written as POSCAR:
```
LaTcN3
1.0
-5.5258 11.0267 15.0084
3.6462 -2.3303 3.0545
3.8880 -1.3809 -5.6946
N La Tc
12 4 4
Direct
0.1660 0.4472 0.4443
0.8340 0.5528 0.5557
0.5900 0.5902 0.5999
0.5080 0.7872 0.8630
0.0080 0.7128 0.3630
0.4920 0.2128 0.1370
0.9920 0.2872 0.6370
0.4100 0.4098 0.4001
0.0900 0.9098 0.0999
0.3340 0.9472 0.0557
0.9100 0.0902 0.9001
0.6660 0.0528 0.9443
0.8584 0.7579 0.2934
0.3584 0.7421 0.7934
0.6416 0.2579 0.2066
0.1416 0.2421 0.7066
0.0019 0.7207 0.0917
0.4981 0.2207 0.4083
0.9981 0.2793 0.9083
0.5019 0.7793 0.5917
```

Values from the calculation:
The calculation puts the calculated volume at 323.68 Å³ per cell. The value obtained for the total magnetization is 0.000 Bohr magnetons per cell. The symmetry is No. 14.

Calculated uncorrected energy (eV/f.u.), listed in the same order as above: -104.62, -50.63, -42.88